No. 1
Computed, not measured: a geometry-optimized VCrO2F structure at the GGA+U level of DFT.

Cell and atoms, written as CIF:
```
data_VCrO2F
_cell_length_a 3.919
_cell_length_b 3.919
_cell_length_c 3.786
_cell_angle_alpha 90.00
_cell_angle_beta 90.00
_cell_angle_gamma 90.00
_symmetry_space_group_name_H-M 'P 1'
_symmetry_Int_Tables_number 1
loop_
_symmetry_equiv_pos_as_xyz
'x,y,z'
loop_
_atom_site_label
_atom_site_type_symbol
_atom_site_fract_x
_atom_site_fract_y
_atom_site_fract_z
_atom_site_occupancy
F1 F 0.000 0.000 0.500 1
V1 V 0.500 0.500 0.500 1
O1 O 0.500 0.000 0.000 1
O2 O 0.000 0.500 0.000 1
Cr1 Cr 0.000 0.000 0.000 1
```

Properties
- space-group type = P4/mmm (123)
- VASP energy (eV/cell) = -34.12
- magnetic moment (μB/f.u.) = 6.0

=====

No. 2
Computed, not measured: a geometry-optimized VCrO2F structure at the GGA+U level of DFT.

Cell and atoms, written as CIF:
```
data_VCrO2F
_cell_length_a 3.611
_cell_length_b 5.864
_cell_length_c 3.611
_cell_angle_alpha 90.00
_cell_angle_beta 90.00
_cell_angle_gamma 90.00
_symmetry_space_group_name_H-M 'P 1'
_symmetry_Int_Tables_number 1
loop_
_symmetry_equiv_pos_as_xyz
'x,y,z'
loop_
_atom_site_label
_atom_site_type_symbol
_atom_site_fract_x
_atom_site_fract_y
_atom_site_fract_z
_atom_site_occupancy
O1 O 0.000 0.000 0.500 1
O2 O 0.500 0.000 0.000 1
Cr1 Cr 0.000 0.500 0.000 1
V1 V 0.000 0.000 0.000 1
F1 F 0.500 0.500 0.500 1
```

Properties
- space-group type = P4/mmm (123)
- VASP energy (eV/cell) = -32.87
- magnetic moment (μB/f.u.) = 4.0

=====

No. 3
Computed, not measured: a geometry-optimized CrWO2F structure at the GGA+U level of DFT.

Cell and atoms, written as CIF:
```
data_CrWO2F
_cell_length_a 3.999
_cell_length_b 3.999
_cell_length_c 3.834
_cell_angle_alpha 90.00
_cell_angle_beta 90.00
_cell_angle_gamma 90.00
_symmetry_space_group_name_H-M 'P 1'
_symmetry_Int_Tables_number 1
loop_
_symmetry_equiv_pos_as_xyz
'x,y,z'
loop_
_atom_site_label
_atom_site_type_symbol
_atom_site_fract_x
_atom_site_fract_y
_atom_site_fract_z
_atom_site_occupancy
W1 W 0.500 0.500 0.500 1
Cr1 Cr 0.000 0.000 0.000 1
O1 O 0.000 0.500 0.000 1
O2 O 0.500 0.000 0.000 1
F1 F 0.000 0.000 0.500 1
```

Properties
- space-group type = P4/mmm (123)
- VASP energy (eV/cell) = -31.39
- magnetic moment (μB/f.u.) = 7.0

=====

No. 4
Computed, not measured: a geometry-optimized CrWO2F structure at the GGA+U level of DFT.

Cell and atoms, written as CIF:
```
data_CrWO2F
_cell_length_a 4.058
_cell_length_b 4.058
_cell_length_c 4.237
_cell_angle_alpha 90.00
_cell_angle_beta 90.00
_cell_angle_gamma 90.00
_symmetry_space_group_name_H-M 'P 1'
_symmetry_Int_Tables_number 1
loop_
_symmetry_equiv_pos_as_xyz
'x,y,z'
loop_
_atom_site_label
_atom_site_type_symbol
_atom_site_fract_x
_atom_site_fract_y
_atom_site_fract_z
_atom_site_occupancy
O1 O 0.000 0.500 0.000 1
O2 O 0.500 0.000 0.000 1
W1 W 0.000 0.000 0.000 1
Cr1 Cr 0.500 0.500 0.500 1
F1 F 0.000 0.000 0.500 1
```

Properties
- space-group type = P4/mmm (123)
- VASP energy (eV/cell) = -33.71
- magnetic moment (μB/f.u.) = 7.0

=====

No. 5
Computed, not measured: a geometry-optimized YCrOF2 structure at the GGA+U level of DFT.

Cell and atoms, written as CIF:
```
data_YCrOF2
_cell_length_a 4.206
_cell_length_b 4.206
_cell_length_c 3.965
_cell_angle_alpha 90.00
_cell_angle_beta 90.00
_cell_angle_gamma 90.00
_symmetry_space_group_name_H-M 'P 1'
_symmetry_Int_Tables_number 1
loop_
_symmetry_equiv_pos_as_xyz
'x,y,z'
loop_
_atom_site_label
_atom_site_type_symbol
_atom_site_fract_x
_atom_site_fract_y
_atom_site_fract_z
_atom_site_occupancy
O1 O 0.000 0.000 0.500 1
Y1 Y 0.500 0.500 0.500 1
Cr1 Cr 0.000 0.000 0.000 1
F1 F 0.000 0.500 0.000 1
F2 F 0.500 0.000 0.000 1
```

Properties
- space-group type = P4/mmm (123)
- distance to the lowest polymorph of the same formula (meV/atom) = 400
- VASP energy (eV/cell) = -33.30
- magnetic moment (μB/f.u.) = 4.7

=====

No. 6
Computed, not measured: a geometry-optimized YCrOF2 structure at the GGA+U level of DFT.

Cell and atoms, written as CIF:
```
data_YCrOF2
_cell_length_a 4.407
_cell_length_b 4.407
_cell_length_c 4.402
_cell_angle_alpha 90.00
_cell_angle_beta 90.00
_cell_angle_gamma 90.00
_symmetry_space_group_name_H-M 'P 1'
_symmetry_Int_Tables_number 1
loop_
_symmetry_equiv_pos_as_xyz
'x,y,z'
loop_
_atom_site_label
_atom_site_type_symbol
_atom_site_fract_x
_atom_site_fract_y
_atom_site_fract_z
_atom_site_occupancy
F1 F 0.000 0.500 0.000 1
F2 F 0.500 0.000 0.000 1
Cr1 Cr 0.500 0.500 0.500 1
Y1 Y 0.000 0.000 0.000 1
O1 O 0.000 0.000 0.500 1
```

Properties
- space-group type = P4/mmm (123)
- distance to the lowest polymorph of the same formula (meV/atom) = 0
- VASP energy (eV/cell) = -35.30
- magnetic moment (μB/f.u.) = 5.0

=====

No. 7
Computed, not measured: a geometry-optimized ZnCrOF2 structure at the GGA+U level of DFT.

Cell and atoms, written as CIF:
```
data_ZnCrOF2
_cell_length_a 3.962
_cell_length_b 3.962
_cell_length_c 3.979
_cell_angle_alpha 90.00
_cell_angle_beta 90.00
_cell_angle_gamma 90.00
_symmetry_space_group_name_H-M 'P 1'
_symmetry_Int_Tables_number 1
loop_
_symmetry_equiv_pos_as_xyz
'x,y,z'
loop_
_atom_site_label
_atom_site_type_symbol
_atom_site_fract_x
_atom_site_fract_y
_atom_site_fract_z
_atom_site_occupancy
Cr1 Cr 0.000 0.000 0.000 1
O1 O 0.000 0.000 0.500 1
Zn1 Zn 0.500 0.500 0.500 1
F1 F 0.500 0.000 0.000 1
F2 F 0.000 0.500 0.000 1
```

Properties
- space-group type = P4/mmm (123)
- distance to the lowest polymorph of the same formula (meV/atom) = 0
- VASP energy (eV/cell) = -25.35
- magnetic moment (μB/f.u.) = 3.0

=====

No. 8
Computed, not measured: a geometry-optimized ZnCrOF2 structure at the GGA+U level of DFT.

Cell and atoms, written as CIF:
```
data_ZnCrOF2
_cell_length_a 3.904
_cell_length_b 3.904
_cell_length_c 4.107
_cell_angle_alpha 90.00
_cell_angle_beta 90.00
_cell_angle_gamma 90.00
_symmetry_space_group_name_H-M 'P 1'
_symmetry_Int_Tables_number 1
loop_
_symmetry_equiv_pos_as_xyz
'x,y,z'
loop_
_atom_site_label
_atom_site_type_symbol
_atom_site_fract_x
_atom_site_fract_y
_atom_site_fract_z
_atom_site_occupancy
O1 O 0.000 0.000 0.500 1
Cr1 Cr 0.500 0.500 0.500 1
Zn1 Zn 0.000 0.000 0.000 1
F1 F 0.500 0.000 0.000 1
F2 F 0.000 0.500 0.000 1
```

Properties
- space-group type = P4/mmm (123)
- distance to the lowest polymorph of the same formula (meV/atom) = 129
- VASP energy (eV/cell) = -24.71
- magnetic moment (μB/f.u.) = 4.0

=====

No. 9
Computed, not measured: a geometry-optimized ZrCrOF2 structure at the GGA+U level of DFT.

Cell and atoms, written as CIF:
```
data_ZrCrOF2
_cell_length_a 4.370
_cell_length_b 4.370
_cell_length_c 4.101
_cell_angle_alpha 90.00
_cell_angle_beta 90.00
_cell_angle_gamma 90.00
_symmetry_space_group_name_H-M 'P 1'
_symmetry_Int_Tables_number 1
loop_
_symmetry_equiv_pos_as_xyz
'x,y,z'
loop_
_atom_site_label
_atom_site_type_symbol
_atom_site_fract_x
_atom_site_fract_y
_atom_site_fract_z
_atom_site_occupancy
O1 O 0.000 0.000 0.500 1
F1 F 0.500 0.000 0.000 1
F2 F 0.000 0.500 0.000 1
Cr1 Cr 0.500 0.500 0.500 1
Zr1 Zr 0.000 0.000 0.000 1
```

Properties
- space-group type = P4/mmm (123)
- distance to the lowest polymorph of the same formula (meV/atom) = 0
- VASP energy (eV/cell) = -35.65
- magnetic moment (μB/f.u.) = 5.8

=====

No. 10
Computed, not measured: a geometry-optimized ZrCrOF2 structure at the GGA+U level of DFT.

Cell and atoms, written as CIF:
```
data_ZrCrOF2
_cell_length_a 4.122
_cell_length_b 4.122
_cell_length_c 3.998
_cell_angle_alpha 90.00
_cell_angle_beta 90.00
_cell_angle_gamma 90.00
_symmetry_space_group_name_H-M 'P 1'
_symmetry_Int_Tables_number 1
loop_
_symmetry_equiv_pos_as_xyz
'x,y,z'
loop_
_atom_site_label
_atom_site_type_symbol
_atom_site_fract_x
_atom_site_fract_y
_atom_site_fract_z
_atom_site_occupancy
Zr1 Zr 0.500 0.500 0.500 1
O1 O 0.000 0.000 0.500 1
F1 F 0.500 0.000 0.000 1
F2 F 0.000 0.500 0.000 1
Cr1 Cr 0.000 0.000 0.000 1
```

Properties
- space-group type = P4/mmm (123)
- distance to the lowest polymorph of the same formula (meV/atom) = 652
- VASP energy (eV/cell) = -32.39
- magnetic moment (μB/f.u.) = 6.0